No. 1
Here is NdTm2Ag after structural relaxation from the Alexandria database. Energies are from PBE.

abc: 3.5965 3.5965 8.6496
angles: 90.00 90.00 90.00
With the nearest neighbours (Å) after each atom.
Fractional coordinates of all 4 atoms:
Nd  0.0000  0.0000  0.0000  8 Tm 3.59, 4 Nd 3.60
Tm  0.5000  0.5000  0.2936  4 Ag 3.11
Tm  0.5000  0.5000  0.7064  4 Ag 3.11
Ag  0.0000  0.0000  0.5000  8 Tm 3.11

Values from the calculation:
Distance to the lowest polymorph of the same formula ... 0.000 eV/atom
E_form ... -0.14 eV/atom
Size of the total moment ... 0.000 μB per atom
Space group ... P4/mmm (123)


No. 2
Here is Nd3TmAg4 after structural relaxation from the Alexandria database. Energies are from PBE.

abc: 3.6889 3.6889 15.0512
angles: 90.00 90.00 90.00
With the nearest neighbours (Å) after each atom.
Fractional coordinates of all 8 atoms:
Nd  0.0000  0.0000  0.0000  8 Ag 3.23
Nd  0.0000  0.0000  0.2558  8 Ag 3.25-3.29
Nd  0.0000  0.0000  0.7442  8 Ag 3.25-3.29
Tm  0.0000  0.0000  0.5000  8 Ag 3.10
Ag  0.5000  0.5000  0.1270  8 Nd 3.23-3.25
Ag  0.5000  0.5000  0.3891  4 Tm 3.10, 4 Nd 3.29, 1 Ag 3.34
Ag  0.5000  0.5000  0.6109  4 Tm 3.10, 4 Nd 3.29, 1 Ag 3.34
Ag  0.5000  0.5000  0.8730  8 Nd 3.23-3.25

Values from the calculation:
E_form ... -0.28 eV/atom
Size of the total moment ... 0.000 μB per atom
Space group ... P4/mmm (123)


No. 3
Here is NdTmAg2 after structural relaxation from the Alexandria database. Energies are from PBE.

abc: 3.6168 3.6168 7.5433
angles: 90.00 90.00 90.00
With the nearest neighbours (Å) after each atom.
Fractional coordinates of all 4 atoms:
Nd  0.0000  0.0000  0.0000  8 Ag 3.29, 4 Nd 3.62
Tm  0.0000  0.0000  0.5000  8 Ag 3.07
Ag  0.5000  0.5000  0.2747  4 Tm 3.07, 4 Nd 3.29, 1 Ag 3.40
Ag  0.5000  0.5000  0.7253  4 Tm 3.07, 4 Nd 3.29, 1 Ag 3.40

Values from the calculation:
Distance to the lowest polymorph of the same formula ... 0.000 eV/atom
E_form ... -0.30 eV/atom
Size of the total moment ... 0.001 μB per atom
Space group ... P4/mmm (123)


No. 4
Here is NdTm2Ag after structural relaxation from the Alexandria database. Energies are from PBE.

abc: 4.7709 4.7709 4.8436
angles: 90.00 90.00 90.00
With the nearest neighbours (Å) after each atom.
Fractional coordinates of all 4 atoms:
Nd  0.0000  0.0000  0.0000  4 Ag 3.37, 8 Tm 3.40
Tm  0.0000  0.5000  0.5000  4 Tm 3.37, 4 Nd 3.40, 4 Ag 3.40
Tm  0.5000  0.0000  0.5000  4 Tm 3.37, 4 Nd 3.40, 4 Ag 3.40
Ag  0.5000  0.5000  0.0000  4 Nd 3.37, 8 Tm 3.40

Values from the calculation:
Distance to the lowest polymorph of the same formula ... 0.157 eV/atom
E_form ... 0.02 eV/atom
Size of the total moment ... 0.000 μB per atom
Space group ... P4/mmm (123)


No. 5
Here is Nd2Tm3Ag2 after structural relaxation from the Alexandria database. Energies are from PBE.

abc: 5.9418 5.9418 8.1611
angles: 112.08 112.08 49.86
With the nearest neighbours (Å) after each atom.
Fractional coordinates of all 7 atoms:
Nd  0.1232  0.1232  0.2651  4 Ag 3.19-3.37
Nd  0.8768  0.8768  0.7349  4 Ag 3.19-3.37
Tm  0.3620  0.3620  0.0435  1 Ag 2.89
Tm  0.5000  0.5000  0.5000  4 Ag 3.02
Tm  0.6380  0.6380  0.9565  1 Ag 2.89
Ag  0.1534  0.1534  0.6796  3 Tm 2.89-3.02, 1 Nd 3.19
Ag  0.8466  0.8466  0.3204  3 Tm 2.89-3.02, 1 Nd 3.19

Values from the calculation:
E_form ... -0.09 eV/atom
Size of the total moment ... 0.000 μB per atom
Space group ... C2/m (12)


No. 6
Here is Nd3Tm5Ag12 after structural relaxation from the Alexandria database. Energies are from PBE.

abc: 14.6535 14.6535 14.6535
angles: 109.47 109.47 109.47
With the nearest neighbours (Å) after each atom.
Fractional coordinates of all 80 atoms:
Nd  0.1250  0.2500  0.3750  8 Ag 2.99-3.03
Nd  0.1250  0.3750  0.7500  8 Ag 2.99-3.03
Nd  0.2500  0.3750  0.1250  8 Ag 2.99-3.03
Nd  0.2500  0.8750  0.6250  8 Ag 2.99-3.03
Nd  0.3750  0.1250  0.2500  8 Ag 2.99-3.03
Nd  0.3750  0.7500  0.1250  8 Ag 2.99-3.03
Nd  0.6250  0.2500  0.8750  8 Ag 2.99-3.03
Nd  0.6250  0.8750  0.7500  8 Ag 2.99-3.03
Nd  0.7500  0.1250  0.3750  8 Ag 2.99-3.03
Nd  0.7500  0.6250  0.8750  8 Ag 2.99-3.03
Nd  0.8750  0.6250  0.2500  8 Ag 2.99-3.03
Nd  0.8750  0.7500  0.6250  8 Ag 2.99-3.03
Tm  0.0000  0.0000  0.0000  6 Ag 2.89
Tm  0.0000  0.0000  0.5000  6 Ag 2.89
Tm  0.0000  0.5000  0.0000  6 Ag 2.89
Tm  0.0000  0.5000  0.5000  6 Ag 2.89
Tm  0.1250  0.7500  0.8750  4 Ag 2.91
Tm  0.1250  0.8750  0.2500  4 Ag 2.91
Tm  0.2500  0.1250  0.8750  4 Ag 2.91
Tm  0.2500  0.6250  0.3750  4 Ag 2.91
Tm  0.3750  0.2500  0.6250  4 Ag 2.91
Tm  0.3750  0.6250  0.7500  4 Ag 2.91
Tm  0.5000  0.0000  0.0000  6 Ag 2.89
Tm  0.5000  0.0000  0.5000  6 Ag 2.89
Tm  0.5000  0.5000  0.0000  6 Ag 2.89
Tm  0.5000  0.5000  0.5000  6 Ag 2.89
Tm  0.6250  0.3750  0.2500  4 Ag 2.91
Tm  0.6250  0.7500  0.3750  4 Ag 2.91
Tm  0.7500  0.3750  0.6250  4 Ag 2.91
Tm  0.7500  0.8750  0.1250  4 Ag 2.91
Tm  0.8750  0.1250  0.7500  4 Ag 2.91
Tm  0.8750  0.2500  0.1250  4 Ag 2.91
Ag  0.0706  0.2286  0.1479  2 Tm 2.89-2.91, 1 Ag 2.96, 2 Nd 2.99-3.03
Ag  0.0706  0.3420  0.9227  2 Tm 2.89-2.91, 1 Ag 2.96, 2 Nd 2.99-3.03
Ag  0.0773  0.6479  0.4193  2 Tm 2.89-2.91, 1 Ag 2.96, 2 Nd 2.99-3.03
Ag  0.0773  0.9294  0.6580  2 Tm 2.89-2.91, 1 Ag 2.96, 2 Nd 2.99-3.03
Ag  0.0807  0.7286  0.6580  2 Tm 2.89-2.91, 1 Ag 2.96, 2 Nd 2.99-3.03
Ag  0.0807  0.8521  0.4227  2 Tm 2.89-2.91, 1 Ag 2.96, 2 Nd 2.99-3.03
Ag  0.1479  0.0706  0.2286  2 Tm 2.89-2.91, 1 Ag 2.96, 2 Nd 2.99-3.03
Ag  0.1479  0.5773  0.9193  2 Tm 2.89-2.91, 1 Ag 2.96, 2 Nd 2.99-3.03
Ag  0.1580  0.2286  0.5807  2 Tm 2.89-2.91, 1 Ag 2.96, 2 Nd 2.99-3.03
Ag  0.1580  0.4294  0.5773  2 Tm 2.89-2.91, 1 Ag 2.96, 2 Nd 2.99-3.03
Ag  0.2286  0.1479  0.0706  2 Tm 2.89-2.91, 1 Ag 2.96, 2 Nd 2.99-3.03
Ag  0.2286  0.5807  0.1580  2 Tm 2.89-2.91, 1 Ag 2.96, 2 Nd 2.99-3.03
Ag  0.2714  0.3420  0.9193  2 Tm 2.89-2.91, 1 Ag 2.96, 2 Nd 2.99-3.03
Ag  0.2714  0.4294  0.3521  2 Tm 2.89-2.91, 1 Ag 2.96, 2 Nd 2.99-3.03
Ag  0.3420  0.9193  0.2714  2 Tm 2.89-2.91, 1 Ag 2.96, 2 Nd 2.99-3.03
Ag  0.3420  0.9227  0.0706  2 Tm 2.89-2.91, 1 Ag 2.96, 2 Nd 2.99-3.03
Ag  0.3521  0.2714  0.4294  2 Tm 2.89-2.91, 1 Ag 2.96, 2 Nd 2.99-3.03
Ag  0.3521  0.5807  0.9227  2 Tm 2.89-2.91, 1 Ag 2.96, 2 Nd 2.99-3.03
Ag  0.4193  0.0773  0.6479  2 Tm 2.89-2.91, 1 Ag 2.96, 2 Nd 2.99-3.03
Ag  0.4193  0.8420  0.7714  2 Tm 2.89-2.91, 1 Ag 2.96, 2 Nd 2.99-3.03
Ag  0.4227  0.0807  0.8521  2 Tm 2.89-2.91, 1 Ag 2.96, 2 Nd 2.99-3.03
Ag  0.4227  0.8420  0.5706  2 Tm 2.89-2.91, 1 Ag 2.96, 2 Nd 2.99-3.03
Ag  0.4294  0.3521  0.2714  2 Tm 2.89-2.91, 1 Ag 2.96, 2 Nd 2.99-3.03
Ag  0.4294  0.5773  0.1580  2 Tm 2.89-2.91, 1 Ag 2.96, 2 Nd 2.99-3.03
Ag  0.5706  0.4227  0.8420  2 Tm 2.89-2.91, 1 Ag 2.96, 2 Nd 2.99-3.03
Ag  0.5706  0.6479  0.7286  2 Tm 2.89-2.91, 1 Ag 2.96, 2 Nd 2.99-3.03
Ag  0.5773  0.1580  0.4294  2 Tm 2.89-2.91, 1 Ag 2.96, 2 Nd 2.99-3.03
Ag  0.5773  0.9193  0.1479  2 Tm 2.89-2.91, 1 Ag 2.96, 2 Nd 2.99-3.03
Ag  0.5807  0.1580  0.2286  2 Tm 2.89-2.91, 1 Ag 2.96, 2 Nd 2.99-3.03
Ag  0.5807  0.9227  0.3521  2 Tm 2.89-2.91, 1 Ag 2.96, 2 Nd 2.99-3.03
Ag  0.6479  0.4193  0.0773  2 Tm 2.89-2.91, 1 Ag 2.96, 2 Nd 2.99-3.03
Ag  0.6479  0.7286  0.5706  2 Tm 2.89-2.91, 1 Ag 2.96, 2 Nd 2.99-3.03
Ag  0.6580  0.0773  0.9294  2 Tm 2.89-2.91, 1 Ag 2.96, 2 Nd 2.99-3.03
Ag  0.6580  0.0807  0.7286  2 Tm 2.89-2.91, 1 Ag 2.96, 2 Nd 2.99-3.03
Ag  0.7286  0.5706  0.6479  2 Tm 2.89-2.91, 1 Ag 2.96, 2 Nd 2.99-3.03
Ag  0.7286  0.6580  0.0807  2 Tm 2.89-2.91, 1 Ag 2.96, 2 Nd 2.99-3.03
Ag  0.7714  0.4193  0.8420  2 Tm 2.89-2.91, 1 Ag 2.96, 2 Nd 2.99-3.03
Ag  0.7714  0.8521  0.9294  2 Tm 2.89-2.91, 1 Ag 2.96, 2 Nd 2.99-3.03
Ag  0.8420  0.5706  0.4227  2 Tm 2.89-2.91, 1 Ag 2.96, 2 Nd 2.99-3.03
Ag  0.8420  0.7714  0.4193  2 Tm 2.89-2.91, 1 Ag 2.96, 2 Nd 2.99-3.03
Ag  0.8521  0.4227  0.0807  2 Tm 2.89-2.91, 1 Ag 2.96, 2 Nd 2.99-3.03
Ag  0.8521  0.9294  0.7714  2 Tm 2.89-2.91, 1 Ag 2.96, 2 Nd 2.99-3.03
Ag  0.9193  0.1479  0.5773  2 Tm 2.89-2.91, 1 Ag 2.96, 2 Nd 2.99-3.03
Ag  0.9193  0.2714  0.3420  2 Tm 2.89-2.91, 1 Ag 2.96, 2 Nd 2.99-3.03
Ag  0.9227  0.0706  0.3420  2 Tm 2.89-2.91, 1 Ag 2.96, 2 Nd 2.99-3.03
Ag  0.9227  0.3521  0.5807  2 Tm 2.89-2.91, 1 Ag 2.96, 2 Nd 2.99-3.03
Ag  0.9294  0.6580  0.0773  2 Tm 2.89-2.91, 1 Ag 2.96, 2 Nd 2.99-3.03
Ag  0.9294  0.7714  0.8521  2 Tm 2.89-2.91, 1 Ag 2.96, 2 Nd 2.99-3.03

Values from the calculation:
E_form ... 0.25 eV/atom
Size of the total moment ... 0.000 μB per atom
Space group ... Ia-3d (230)


No. 7
Here is NdTm4Ag5 after structural relaxation from the Alexandria database. Energies are from PBE.

abc: 3.5826 3.5826 18.4590
angles: 90.00 90.00 90.00
With the nearest neighbours (Å) after each atom.
Fractional coordinates of all 10 atoms:
Nd  0.0000  0.0000  0.0000  8 Ag 3.28, 4 Nd 3.58
Tm  0.0000  0.0000  0.2059  8 Ag 3.06-3.11
Tm  0.0000  0.0000  0.4018  8 Ag 3.11
Tm  0.0000  0.0000  0.5982  8 Ag 3.11
Tm  0.0000  0.0000  0.7941  8 Ag 3.06-3.11
Ag  0.5000  0.5000  0.1127  4 Tm 3.06, 4 Nd 3.28
Ag  0.5000  0.5000  0.3038  8 Tm 3.11
Ag  0.5000  0.5000  0.5000  8 Tm 3.11
Ag  0.5000  0.5000  0.6962  8 Tm 3.11
Ag  0.5000  0.5000  0.8873  4 Tm 3.06, 4 Nd 3.28

Values from the calculation:
E_form ... -0.33 eV/atom
Size of the total moment ... 0.000 μB per atom
Space group ... P4/mmm (123)


No. 8
Here is NdTm2Ag6 after structural relaxation from the Alexandria database. Energies are from PBE.

abc: 8.9162 8.9162 5.3108
angles: 98.26 98.26 75.55
With the nearest neighbours (Å) after each atom.
Fractional coordinates of all 18 atoms:
Nd  0.1253  0.8747  0.7500  10 Ag 3.12-3.27
Nd  0.8747  0.1253  0.2500  10 Ag 3.12-3.27
Tm  0.2107  0.4568  0.9114  10 Ag 3.00-3.13
Tm  0.4568  0.2107  0.4114  10 Ag 3.00-3.13
Tm  0.5432  0.7893  0.5886  10 Ag 3.00-3.13
Tm  0.7893  0.5432  0.0886  10 Ag 3.00-3.13
Ag  0.0163  0.7483  0.1931  2 Tm 3.00-3.06, 5 Ag 3.05-3.26, 3 Nd 3.12-3.27
Ag  0.1012  0.3554  0.3558  5 Ag 3.01-3.24, 4 Tm 3.01-3.13, 1 Nd 3.16
Ag  0.2517  0.9837  0.3069  2 Tm 3.00-3.06, 5 Ag 3.05-3.26, 3 Nd 3.12-3.27
Ag  0.3261  0.5644  0.4676  5 Ag 3.00-3.12, 4 Tm 3.06-3.08, 1 Nd 3.20
Ag  0.3554  0.1012  0.8558  5 Ag 3.01-3.24, 4 Tm 3.01-3.13, 1 Nd 3.16
Ag  0.4356  0.6739  0.0324  5 Ag 3.00-3.12, 4 Tm 3.06-3.08, 1 Nd 3.20
Ag  0.5644  0.3261  0.9676  5 Ag 3.00-3.12, 4 Tm 3.06-3.08, 1 Nd 3.20
Ag  0.6446  0.8988  0.1442  5 Ag 3.01-3.24, 4 Tm 3.01-3.13, 1 Nd 3.16
Ag  0.6739  0.4356  0.5324  5 Ag 3.00-3.12, 4 Tm 3.06-3.08, 1 Nd 3.20
Ag  0.7483  0.0163  0.6931  2 Tm 3.00-3.06, 5 Ag 3.05-3.26, 3 Nd 3.12-3.27
Ag  0.8988  0.6446  0.6442  5 Ag 3.01-3.24, 4 Tm 3.01-3.13, 1 Nd 3.16
Ag  0.9837  0.2517  0.8069  2 Tm 3.00-3.06, 5 Ag 3.05-3.26, 3 Nd 3.12-3.27

Values from the calculation:
E_form ... -0.20 eV/atom
Size of the total moment ... 0.000 μB per atom
Space group ... C2/c (15)


No. 9
Here is Nd2TmAg2 after structural relaxation from the Alexandria database. Energies are from PBE.

abc: 10.8194 10.8194 3.5756
angles: 90.00 90.00 160.90
With the nearest neighbours (Å) after each atom.
Fractional coordinates of all 5 atoms:
Nd  0.1761  0.8239  0.0000  4 Ag 3.26, 6 Nd 3.58-3.63
Nd  0.8239  0.1761  0.0000  4 Ag 3.26, 6 Nd 3.58-3.63
Tm  0.0000  0.0000  0.0000  8 Ag 3.06
Ag  0.4199  0.5801  0.5000  4 Tm 3.06, 4 Nd 3.26, 1 Ag 3.42
Ag  0.5801  0.4199  0.5000  4 Tm 3.06, 4 Nd 3.26, 1 Ag 3.42

Values from the calculation:
Distance to the lowest polymorph of the same formula ... 0.000 eV/atom
E_form ... -0.15 eV/atom
Size of the total moment ... 0.070 μB per atom
Space group ... Cmmm (65)


No. 10
Here is NdTmAg after structural relaxation from the Alexandria database. Energies are from PBE.

abc: 6.8825 6.8825 6.8825
angles: 149.61 149.61 43.51
With the nearest neighbours (Å) after each atom.
Fractional coordinates of all 3 atoms:
Nd  0.0000  0.0000  0.0000  4 Ag 3.32, 4 Nd 3.61, 4 Tm 3.63
Tm  0.2978  0.2978  0.0000  4 Ag 3.05
Ag  0.6663  0.6663  0.0000  4 Tm 3.05, 4 Nd 3.32

Values from the calculation:
Distance to the lowest polymorph of the same formula ... 0.000 eV/atom
E_form ... -0.17 eV/atom
Size of the total moment ... 0.013 μB per atom
Space group ... I4mm (107)